DFT (PBE) results for Tb2Pm3Sm6 after structural relaxation.

a = 17.153 Å, b = 17.153 Å, c = 17.153 Å
α = 163.88°, β = 163.88°, γ = 22.87°
Sites, in units of the cell vectors:
Tb: 0.045 0.045 0.000
Tb: 0.955 0.955 0.000
Pm: 0.299 0.299 0.000
Pm: 0.500 0.500 0.000
Pm: 0.701 0.701 0.000
Sm: 0.120 0.620 0.500
Sm: 0.197 0.197 0.000
Sm: 0.380 0.880 0.500
Sm: 0.620 0.120 0.500
Sm: 0.803 0.803 0.000
Sm: 0.880 0.380 0.500

space-group type: I4/mmm (139)
total magnetization: 0.00 μB per atom
offset from the most stable computed form: 259 meV/atom
formation energy: 0.272 eV/atom